i) SnBi6Pb12 | PBE-GGA | relaxed

a b c (Å): 8.5286 8.5286 8.5286
angles (deg): 91.43 91.43 91.43
With the nearest neighbours (Å) after each atom.
Fractional coordinates of all 19 atoms:
Sn  0.0000  0.0000  0.0000  6 Pb 3.40, 6 Bi 3.48
Bi  0.1283  0.7362  0.2771  9 Pb 3.38-3.71, 1 Sn 3.48, 2 Bi 3.67
Bi  0.2638  0.7229  0.8717  9 Pb 3.38-3.71, 1 Sn 3.48, 2 Bi 3.67
Bi  0.2771  0.1283  0.7362  9 Pb 3.38-3.71, 1 Sn 3.48, 2 Bi 3.67
Bi  0.7229  0.8717  0.2638  9 Pb 3.38-3.71, 1 Sn 3.48, 2 Bi 3.67
Bi  0.7362  0.2771  0.1283  9 Pb 3.38-3.71, 1 Sn 3.48, 2 Bi 3.67
Bi  0.8717  0.2638  0.7229  9 Pb 3.38-3.71, 1 Sn 3.48, 2 Bi 3.67
Pb  0.0289  0.1480  0.3742  4 Pb 3.39-3.71, 1 Sn 3.40, 5 Bi 3.43-3.71
Pb  0.1480  0.3742  0.0289  4 Pb 3.39-3.71, 1 Sn 3.40, 5 Bi 3.43-3.71
Pb  0.1956  0.4714  0.5574  4 Bi 3.38-3.58, 4 Pb 3.40-3.51
Pb  0.3742  0.0289  0.1480  4 Pb 3.39-3.71, 1 Sn 3.40, 5 Bi 3.43-3.71
Pb  0.4426  0.8044  0.5286  4 Bi 3.38-3.58, 4 Pb 3.40-3.51
Pb  0.4714  0.5574  0.1956  4 Bi 3.38-3.58, 4 Pb 3.40-3.51
Pb  0.5286  0.4426  0.8044  4 Bi 3.38-3.58, 4 Pb 3.40-3.51
Pb  0.5574  0.1956  0.4714  4 Bi 3.38-3.58, 4 Pb 3.40-3.51
Pb  0.6258  0.9711  0.8520  4 Pb 3.39-3.71, 1 Sn 3.40, 5 Bi 3.43-3.71
Pb  0.8044  0.5286  0.4426  4 Bi 3.38-3.58, 4 Pb 3.40-3.51
Pb  0.8520  0.6258  0.9711  4 Pb 3.39-3.71, 1 Sn 3.40, 5 Bi 3.43-3.71
Pb  0.9711  0.8520  0.6258  4 Pb 3.39-3.71, 1 Sn 3.40, 5 Bi 3.43-3.71

Output
space-group type: R-3 (148)
density of states at the Fermi level: 0.633 states/eV/atom
V: 32.6 Å³ per atom


ii) SnBi6Pb12 | PBE-GGA | relaxed

a b c (Å): 9.1234 9.1234 9.1234
angles (deg): 95.98 95.98 95.98
With the nearest neighbours (Å) after each atom.
Fractional coordinates of all 19 atoms:
Sn  0.0000  0.0000  0.0000  6 Pb 3.12
Bi  0.1495  0.5607  0.2714  7 Pb 3.26-3.38
Bi  0.2714  0.1495  0.5607  7 Pb 3.26-3.38
Bi  0.4393  0.7286  0.8505  7 Pb 3.26-3.38
Bi  0.5607  0.2714  0.1495  7 Pb 3.26-3.38
Bi  0.7286  0.8505  0.4393  7 Pb 3.26-3.38
Bi  0.8505  0.4393  0.7286  7 Pb 3.26-3.38
Pb  0.0528  0.8948  0.3143  1 Sn 3.12, 3 Bi 3.26-3.38
Pb  0.1052  0.6857  0.9472  1 Sn 3.12, 3 Bi 3.26-3.38
Pb  0.1895  0.4919  0.6161  4 Bi 3.26-3.38, 3 Pb 3.53-3.54
Pb  0.3143  0.0528  0.8948  1 Sn 3.12, 3 Bi 3.26-3.38
Pb  0.3839  0.8105  0.5081  4 Bi 3.26-3.38, 3 Pb 3.53-3.54
Pb  0.4919  0.6161  0.1895  4 Bi 3.26-3.38, 3 Pb 3.53-3.54
Pb  0.5081  0.3839  0.8105  4 Bi 3.26-3.38, 3 Pb 3.53-3.54
Pb  0.6161  0.1895  0.4919  4 Bi 3.26-3.38, 3 Pb 3.53-3.54
Pb  0.6857  0.9472  0.1052  1 Sn 3.12, 3 Bi 3.26-3.38
Pb  0.8105  0.5081  0.3839  4 Bi 3.26-3.38, 3 Pb 3.53-3.54
Pb  0.8948  0.3143  0.0528  1 Sn 3.12, 3 Bi 3.26-3.38
Pb  0.9472  0.1052  0.6857  1 Sn 3.12, 3 Bi 3.26-3.38

Output
space-group type: R-3 (148)
density of states at the Fermi level: 0.396 states/eV/atom
V: 39.3 Å³ per atom


Which one sits at the top of the stability order? i) does.


i) SnBi2Pb5 | PBE-GGA | relaxed

a b c (Å): 12.3438 12.3438 13.4767
angles (deg): 90.00 90.00 164.90
With the nearest neighbours (Å) after each atom.
Fractional coordinates of all 16 atoms:
Sn  0.1580  0.8420  0.7500  6 Pb 3.18-3.39, 2 Sn 3.24
Sn  0.8420  0.1580  0.2500  6 Pb 3.18-3.39, 2 Sn 3.24
Bi  0.0849  0.9151  0.1275  3 Bi 3.24-3.30, 3 Pb 3.27-3.34
Bi  0.0849  0.9151  0.3725  3 Bi 3.24-3.30, 3 Pb 3.27-3.34
Bi  0.9151  0.0849  0.6275  3 Bi 3.24-3.30, 3 Pb 3.27-3.34
Bi  0.9151  0.0849  0.8725  3 Bi 3.24-3.30, 3 Pb 3.27-3.34
Pb  0.0484  0.9516  0.6117  2 Pb 3.24, 1 Sn 3.27, 2 Bi 3.27-3.34
Pb  0.0484  0.9516  0.8883  2 Pb 3.24, 1 Sn 3.27, 2 Bi 3.27-3.34
Pb  0.1903  0.8097  0.5212  1 Sn 3.18, 4 Pb 3.24-3.39, 1 Bi 3.27
Pb  0.1903  0.8097  0.9788  1 Sn 3.18, 4 Pb 3.24-3.39, 1 Bi 3.27
Pb  0.2204  0.7796  0.2500  2 Pb 3.24, 2 Sn 3.39
Pb  0.7796  0.2204  0.7500  2 Pb 3.24, 2 Sn 3.39
Pb  0.8097  0.1903  0.0212  1 Sn 3.18, 4 Pb 3.24-3.39, 1 Bi 3.27
Pb  0.8097  0.1903  0.4788  1 Sn 3.18, 4 Pb 3.24-3.39, 1 Bi 3.27
Pb  0.9516  0.0484  0.1117  2 Pb 3.24, 1 Sn 3.27, 2 Bi 3.27-3.34
Pb  0.9516  0.0484  0.3883  2 Pb 3.24, 1 Sn 3.27, 2 Bi 3.27-3.34

Output
space-group type: Cmcm (63)
density of states at the Fermi level: 0.519 states/eV/atom
V: 33.4 Å³ per atom


ii) SnBi2Pb5 | PBE-GGA | relaxed

a b c (Å): 7.1765 11.8054 6.9078
angles (deg): 90.00 121.29 90.00
With the nearest neighbours (Å) after each atom.
Fractional coordinates of all 16 atoms:
Sn  0.0000  0.0000  0.0000  10 Pb 3.45-3.60
Sn  0.5000  0.5000  0.0000  10 Pb 3.45-3.60
Bi  0.2486  0.2500  0.4987  8 Pb 3.45-3.46, 2 Bi 3.59
Bi  0.2486  0.7500  0.4987  8 Pb 3.45-3.46, 2 Bi 3.59
Bi  0.7486  0.2500  0.4987  8 Pb 3.45-3.46, 2 Bi 3.59
Bi  0.7486  0.7500  0.4987  8 Pb 3.45-3.46, 2 Bi 3.59
Pb  0.9997  0.5000  0.5002  4 Bi 3.45-3.46, 2 Sn 3.45, 4 Pb 3.45-3.59
Pb  0.2489  0.2503  0.9988  4 Bi 3.45-3.46, 2 Sn 3.45, 4 Pb 3.45-3.59
Pb  0.2489  0.7497  0.9988  4 Bi 3.45-3.46, 2 Sn 3.45, 4 Pb 3.45-3.59
Pb  0.4989  0.0000  0.9997  8 Pb 3.45-3.46, 2 Sn 3.58-3.60
Pb  0.4991  0.5000  0.4991  2 Sn 3.45-3.46, 4 Pb 3.45-3.59, 4 Bi 3.45
Pb  0.4997  0.0000  0.5002  4 Bi 3.45-3.46, 2 Sn 3.45, 4 Pb 3.45-3.59
Pb  0.7489  0.2497  0.9988  4 Bi 3.45-3.46, 2 Sn 3.45, 4 Pb 3.45-3.59
Pb  0.7489  0.7503  0.9988  4 Bi 3.45-3.46, 2 Sn 3.45, 4 Pb 3.45-3.59
Pb  0.9991  0.0000  0.4991  2 Sn 3.45-3.46, 4 Pb 3.45-3.59, 4 Bi 3.45
Pb  0.9989  0.5000  0.9997  8 Pb 3.45-3.46, 2 Sn 3.58-3.60

Output
space-group type: Cm (8)
density of states at the Fermi level: 0.519 states/eV/atom
V: 31.3 Å³ per atom


Which one sits at the top of the stability order? ii) does.


i) TlSnBiPb | PBE-GGA | relaxed

a b c (Å): 7.8730 7.8730 7.8730
angles (deg): 90.00 90.00 90.00
With the nearest neighbours (Å) after each atom.
Fractional coordinates of all 16 atoms:
Tl  0.0000  0.0000  0.0000  4 Sn 3.41, 4 Pb 3.41
Tl  0.0000  0.5000  0.5000  4 Sn 3.41, 4 Pb 3.41
Tl  0.5000  0.0000  0.5000  4 Sn 3.41, 4 Pb 3.41
Tl  0.5000  0.5000  0.0000  4 Sn 3.41, 4 Pb 3.41
Sn  0.2500  0.2500  0.7500  4 Tl 3.41, 4 Bi 3.41
Sn  0.2500  0.7500  0.2500  4 Tl 3.41, 4 Bi 3.41
Sn  0.7500  0.2500  0.2500  4 Tl 3.41, 4 Bi 3.41
Sn  0.7500  0.7500  0.7500  4 Tl 3.41, 4 Bi 3.41
Bi  0.0000  0.0000  0.5000  4 Pb 3.41, 4 Sn 3.41
Bi  0.0000  0.5000  0.0000  4 Pb 3.41, 4 Sn 3.41
Bi  0.5000  0.0000  0.0000  4 Pb 3.41, 4 Sn 3.41
Bi  0.5000  0.5000  0.5000  4 Pb 3.41, 4 Sn 3.41
Pb  0.2500  0.2500  0.2500  4 Tl 3.41, 4 Bi 3.41
Pb  0.2500  0.7500  0.7500  4 Tl 3.41, 4 Bi 3.41
Pb  0.7500  0.2500  0.7500  4 Tl 3.41, 4 Bi 3.41
Pb  0.7500  0.7500  0.2500  4 Tl 3.41, 4 Bi 3.41

Output
space-group type: F-43m (216)
density of states at the Fermi level: 0.733 states/eV/atom
V: 30.5 Å³ per atom


ii) TlSnBiPb | PBE-GGA | relaxed

a b c (Å): 3.4379 5.1601 7.0740
angles (deg): 90.00 90.00 90.00
With the nearest neighbours (Å) after each atom.
Fractional coordinates of all 4 atoms:
Tl  0.0000  0.0000  0.0000  2 Tl 3.44, 2 Pb 3.49-3.58, 4 Sn 3.61, 4 Bi 3.68
Sn  0.5000  0.5000  0.2618  1 Bi 3.24, 2 Sn 3.44, 4 Pb 3.51, 4 Tl 3.61
Bi  0.5000  0.5000  0.7193  1 Sn 3.24, 2 Bi 3.44, 4 Pb 3.49
Pb  0.0000  0.0000  0.4933  2 Pb 3.44, 4 Bi 3.49, 2 Tl 3.49-3.58, 4 Sn 3.51

Output
space-group type: Pmm2 (25)
density of states at the Fermi level: 0.401 states/eV/atom
V: 31.4 Å³ per atom


Which one sits at the top of the stability order? ii) does.


i) SrBiPb | PBE-GGA | relaxed

a b c (Å): 5.3902 5.3902 4.4280
angles (deg): 90.00 90.00 120.00
With the nearest neighbours (Å) after each atom.
Fractional coordinates of all 3 atoms:
Sr  0.0000  0.0000  0.0000  6 Pb 3.82, 6 Bi 3.82
Bi  0.6667  0.3333  0.5000  3 Pb 3.11
Pb  0.3333  0.6667  0.5000  3 Bi 3.11

Output
space-group type: P-6m2 (187)
density of states at the Fermi level: 0.435 states/eV/atom
V: 37.1 Å³ per atom


ii) SrBiPb | PBE-GGA | relaxed

a b c (Å): 4.6750 19.5524 4.7710
angles (deg): 90.00 90.00 90.00
With the nearest neighbours (Å) after each atom.
Fractional coordinates of all 12 atoms:
Sr  0.0000  0.0978  0.2500  4 Bi 3.39, 1 Pb 3.47
Sr  0.0000  0.9022  0.7500  4 Bi 3.39, 1 Pb 3.47
Sr  0.5000  0.4022  0.7500  4 Bi 3.39, 1 Pb 3.47
Sr  0.5000  0.5978  0.2500  4 Bi 3.39, 1 Pb 3.47
Bi  0.0000  0.4332  0.2500  1 Pb 3.09, 4 Sr 3.39
Bi  0.0000  0.5668  0.7500  1 Pb 3.09, 4 Sr 3.39
Bi  0.5000  0.0668  0.7500  1 Pb 3.09, 4 Sr 3.39
Bi  0.5000  0.9332  0.2500  1 Pb 3.09, 4 Sr 3.39
Pb  0.0000  0.2753  0.2500  1 Bi 3.09
Pb  0.0000  0.7247  0.7500  1 Bi 3.09
Pb  0.5000  0.2247  0.7500  1 Bi 3.09
Pb  0.5000  0.7753  0.2500  1 Bi 3.09

Output
space-group type: Cmcm (63)
density of states at the Fermi level: 0.513 states/eV/atom
V: 36.3 Å³ per atom


iii) SrBiPb | PBE-GGA | relaxed

a b c (Å): 7.8842 7.8842 7.8842
angles (deg): 90.00 90.00 90.00
With the nearest neighbours (Å) after each atom.
Fractional coordinates of all 12 atoms:
Sr  0.0000  0.0000  0.0000  4 Bi 3.41
Sr  0.0000  0.5000  0.5000  4 Bi 3.41
Sr  0.5000  0.0000  0.5000  4 Bi 3.41
Sr  0.5000  0.5000  0.0000  4 Bi 3.41
Bi  0.2500  0.2500  0.7500  4 Pb 3.41, 4 Sr 3.41
Bi  0.2500  0.7500  0.2500  4 Pb 3.41, 4 Sr 3.41
Bi  0.7500  0.2500  0.2500  4 Pb 3.41, 4 Sr 3.41
Bi  0.7500  0.7500  0.7500  4 Pb 3.41, 4 Sr 3.41
Pb  0.0000  0.0000  0.5000  4 Bi 3.41
Pb  0.0000  0.5000  0.0000  4 Bi 3.41
Pb  0.5000  0.0000  0.0000  4 Bi 3.41
Pb  0.5000  0.5000  0.5000  4 Bi 3.41

Output
space-group type: F-43m (216)
density of states at the Fermi level: 0.728 states/eV/atom
V: 40.8 Å³ per atom


Which one sits at the top of the stability order? ii) does.


i) SrBiPb | PBE-GGA | relaxed

a b c (Å): 3.9556 3.9556 17.1222
angles (deg): 90.00 90.00 90.00
With the nearest neighbours (Å) after each atom.
Fractional coordinates of all 6 atoms:
Sr  0.0000  0.0000  0.0000  1 Bi 3.38, 1 Pb 3.49
Sr  0.5000  0.5000  0.5000  1 Bi 3.38, 1 Pb 3.49
Bi  0.0000  0.0000  0.1976  4 Pb 3.27, 1 Sr 3.38
Bi  0.5000  0.5000  0.6976  4 Pb 3.27, 1 Sr 3.38
Pb  0.0000  0.0000  0.7964  4 Bi 3.27, 1 Sr 3.49
Pb  0.5000  0.5000  0.2964  4 Bi 3.27, 1 Sr 3.49

Output
space-group type: I4mm (107)
density of states at the Fermi level: 0.851 states/eV/atom
V: 44.7 Å³ per atom


ii) SrBiPb | PBE-GGA | relaxed

a b c (Å): 10.9523 9.6862 7.9899
angles (deg): 75.90 59.07 45.03
With the nearest neighbours (Å) after each atom.
Fractional coordinates of all 12 atoms:
Sr  0.0087  0.0087  0.2413  4 Bi 3.25-3.33
Sr  0.2413  0.2413  0.0087  4 Bi 3.25-3.33
Sr  0.7587  0.7587  0.9913  4 Bi 3.25-3.33
Sr  0.9913  0.9913  0.7587  4 Bi 3.25-3.33
Bi  0.0724  0.6776  0.0724  4 Sr 3.25-3.33, 2 Pb 3.40
Bi  0.3224  0.9276  0.3224  4 Sr 3.25-3.33, 2 Pb 3.40
Bi  0.6776  0.0724  0.6776  4 Sr 3.25-3.33, 2 Pb 3.40
Bi  0.9276  0.3224  0.9276  4 Sr 3.25-3.33, 2 Pb 3.40
Pb  0.0000  0.5000  0.5000  2 Bi 3.40, 2 Sr 3.67
Pb  0.5000  0.0000  0.5000  2 Bi 3.40, 2 Sr 3.67
Pb  0.5000  0.5000  0.0000  2 Bi 3.40, 2 Sr 3.67
Pb  0.5000  0.5000  0.5000  2 Bi 3.40, 2 Sr 3.67

Output
space-group type: Fddd (70)
density of states at the Fermi level: 0.594 states/eV/atom
V: 42.0 Å³ per atom


Which one sits at the top of the stability order? ii) does.